CaLa2Co2Sb2Pb2O12: optimized geometry, PBE+U.

```
data_CaLa2Co2Sb2Pb2O12
_cell_length_a 6.061
_cell_length_b 6.714
_cell_length_c 9.040
_cell_angle_alpha 73.58
_cell_angle_beta 81.26
_cell_angle_gamma 83.00
_symmetry_space_group_name_H-M 'P 1'
_symmetry_Int_Tables_number 1
_symmetry_space_group_name_Hall 'P 1'
loop_
_atom_site_label
_atom_site_type_symbol
_atom_site_fract_x
_atom_site_fract_y
_atom_site_fract_z
Ca1 Ca 0.000 0.000 0.000
La1 La 0.400 0.356 0.760
La2 La 0.983 0.734 0.390
Co1 Co 0.091 0.273 0.204
Co2 Co 0.462 0.906 0.606
Sb1 Sb 0.481 0.936 0.195
Sb2 Sb 0.938 0.212 0.606
Pb1 Pb 0.581 0.388 0.277
Pb2 Pb 0.859 0.678 0.815
O1 O 0.034 0.482 0.644
O2 O 0.115 0.329 0.392
O3 O 0.182 0.280 0.997
O4 O 0.211 0.065 0.705
O5 O 0.249 0.773 0.162
O6 O 0.378 0.841 0.424
O7 O 0.519 0.659 0.772
O8 O 0.673 0.389 0.513
O9 O 0.743 0.718 0.188
O10 O 0.754 0.149 0.815
O11 O 0.830 0.946 0.578
O12 O 0.858 0.092 0.236
```

Output
VASP energy ... -6.49 eV per atom
Total magnetic moment ... 0.003 μB/atom
V ... 348 Å³/f.u.